Record 1
! YAgTe3 (PBE, optimized geometry); values from VASP
&SYSTEM
  ibrav = 0, nat = 10, ntyp = 3
/
ATOMIC_SPECIES
Y 88.91 Y.upf
Ag 107.87 Ag.upf
Te 127.60 Te.upf
CELL_PARAMETERS angstrom
4.2994 0.0000 0.0000
0.0000 6.2628 0.0000
0.0000 0.0000 10.9305
ATOMIC_POSITIONS angstrom
Y 1.0749 1.5657 1.5929
Y 3.2246 4.6971 9.3377
Ag 1.0749 4.6971 4.9884
Ag 3.2246 1.5657 5.9421
Te 1.0749 3.1725 7.4711
Te 1.0749 4.6971 0.6185
Te 1.0749 6.2216 7.4711
Te 3.2246 0.0411 3.4594
Te 3.2246 1.5657 10.3120
Te 3.2246 3.0902 3.4594
! Relative energy among the computed polymorphs = 0 meV/atom

Record 2
This record from Alexandria describes a relaxed Y2AgTe crystal. The functional is PBE. Values from VASP.

Quantum ESPRESSO input file:
```
&SYSTEM
  ibrav = 0, nat = 4, ntyp = 3
/
ATOMIC_SPECIES
Y 88.91 Y.upf
Ag 107.87 Ag.upf
Te 127.60 Te.upf
CELL_PARAMETERS angstrom
-2.0037 2.3514 5.5348
2.0037 -2.3514 5.5348
2.0037 2.3514 -5.5348
ATOMIC_POSITIONS angstrom
Y 0.0000 0.0000 0.0000
Y 0.0000 2.3514 2.6298
Ag 2.0037 0.0000 2.6310
Te 0.0000 0.0000 5.1992
```

Record 3
! Y2Ag2Te (PBE, optimized geometry); values from VASP
&SYSTEM
  ibrav = 0, nat = 5, ntyp = 3
/
ATOMIC_SPECIES
Y 88.91 Y.upf
Ag 107.87 Ag.upf
Te 127.60 Te.upf
CELL_PARAMETERS angstrom
-1.9279 1.9279 8.6085
1.9279 -1.9279 8.6085
1.9279 1.9279 -8.6085
ATOMIC_POSITIONS angstrom
Y 0.0000 0.0000 1.8553
Y 0.0000 0.0000 15.3616
Ag 1.9279 0.0000 4.3042
Ag 0.0000 1.9279 4.3042
Te 0.0000 0.0000 8.6085
! Relative energy among the computed polymorphs = 16 meV/atom

Number 1: formation energy (no corrections) -0.6417 eV/atom, density of states at the Fermi level 5.69 states/eV/cell. Number 2: formation energy (no corrections) -0.5818 eV/atom, density of states at the Fermi level 3.41 states/eV/cell. Number 3: formation energy (no corrections) -0.4628 eV/atom, density of states at the Fermi level 3.55 states/eV/cell.